Entry 1:
Compound: Sc7Mn6Ge8
Source: Alexandria
Functional: PBE
Structure: relaxed

Summary:
The volume is 16.4 A^3/atom. As for the energy: -7.039 eV/atom. The density of states at the Fermi level is 56.48 states/eV per cell.

Cell lengths 9.927, 9.927, 14.004 Å; angles 90.00, 90.00, 90.00 degrees
Space group I4/mmm (No. 139)
One atom of each set of equivalent atoms:
Sc 0.000 0.000 0.163 [4 per cell]
Sc 0.000 0.252 0.310 [16 per cell]
Sc 0.181 0.181 0.500 [8 per cell]
Mn 0.000 0.319 0.096 [16 per cell]
Mn 0.113 0.113 0.000 [8 per cell]
Ge 0.000 0.000 0.390 [4 per cell]
Ge 0.000 0.375 0.500 [8 per cell]
Ge 0.000 0.500 0.250 [4 per cell]
Ge 0.202 0.202 0.161 [16 per cell]

---

Entry 2:
Compound: ScMn3Ge
Source: Alexandria
Functional: PBE
Structure: relaxed

Summary:
The volume is 18.7 A^3/atom. The density of states at the Fermi level is 5.08 states/eV per cell. The calculation puts the energy above the lowest structure with this stoichiometry at 0.0 meV per atom.

Cell lengths 4.537, 4.537, 4.537 Å; angles 90.00, 90.00, 90.00 degrees
Space group Pm-3m (No. 221)
One atom of each set of equivalent atoms:
Sc 0.000 0.000 0.000 [1 per cell]
Mn 0.000 0.500 0.500 [3 per cell]
Ge 0.500 0.500 0.500 [1 per cell]

---

Entry 3:
Compound: Sc2Mn2Si2Ge
Source: Alexandria
Functional: PBE
Structure: relaxed

Summary:
The raw formation energy comes out at 0.04 eV per atom. The volume is 17.5 A^3/atom. The density of states at the Fermi level is 12.24 states/eV per cell.

Cell lengths 4.233, 4.233, 13.700 Å; angles 90.00, 90.00, 90.00 degrees
Space group I4/mmm (No. 139)
One atom of each set of equivalent atoms:
Sc 0.000 0.000 0.186 [4 per cell]
Mn 0.000 0.500 0.000 [4 per cell]
Si 0.000 0.000 0.391 [4 per cell]
Ge 0.000 0.000 0.000 [2 per cell]

---

Entry 4:
Compound: ScMn6Sn4Ge2
Source: Alexandria
Functional: PBE
Structure: relaxed

Summary:
The volume is 16.2 A^3/atom. As for the energy: -6.871 eV/atom. The density of states at the Fermi level is 5.99 states/eV per cell.

Cell lengths 5.3084, 5.3084, 8.6200 Å; angles 90.00, 90.00, 120.00 degrees
Space group P6/mmm (No. 191)
One atom of each set of equivalent atoms:
Sc 0.0000 0.0000 0.0000 [1 per cell]
Mn 0.0000 0.5000 0.2319 [6 per cell]
Sn 0.0000 0.0000 0.3284 [2 per cell]
Sn 0.3333 0.6667 0.5000 [2 per cell]
Ge 0.3333 0.6667 0.0000 [2 per cell]

---

Entry 5:
Compound: Sc2MnVGe
Source: Alexandria
Functional: PBE
Structure: relaxed

Summary:
The volume is 22.9 A^3/atom. As for the energy: -6.524 eV/atom. The density of states at the Fermi level is 7.52 states/eV per cell.

Cell lengths 5.057, 5.057, 4.473 Å; angles 90.00, 90.00, 90.00 degrees
Space group P4/mmm (No. 123)
One atom of each set of equivalent atoms:
Sc 0.000 0.500 0.000 [2 per cell]
Mn 0.000 0.000 0.500 [1 per cell]
V 0.500 0.500 0.500 [1 per cell]
Ge 0.000 0.000 0.000 [1 per cell]

---

Entry 6:
Compound: Mn3GeSe
Source: Alexandria
Functional: PBE
Structure: relaxed

Summary:
The raw formation energy comes out at 0.60 eV per atom. The volume is 19.3 A^3/atom. The density of states at the Fermi level is 4.63 states/eV per cell.

Cell lengths 4.587, 4.587, 4.587 Å; angles 90.00, 90.00, 90.00 degrees
Space group Pm-3m (No. 221)
One atom of each set of equivalent atoms:
Mn 0.000 0.000 0.500 [3 per cell]
Ge 0.500 0.500 0.500 [1 per cell]
Se 0.000 0.000 0.000 [1 per cell]

---

- Number 4 is which compound?
  ScMn6Sn4Ge2